First-principles (PBE) data for crystalline KGa2Rh2 at its relaxed geometry, as listed in Alexandria.

## Properties
ΔH_f (0 K) = -0.2782 eV per atom
E_tot = -4.6490 eV per atom
Crystal system = tetragonal
Density = 7.39 g cm⁻³
Spin magnetization = 0.00 μB/atom
Fermi-level density of states = 0.246 states/eV/atom

Cell: 7.7361 7.7361 2.8848 Å, 90.00 90.00 90.00°
Element x y z (fractional)
K: 0.0000 0.0000 0.0000
K: 0.5000 0.5000 0.0000
Ga: 0.1379 0.3621 0.0000
Ga: 0.3621 0.8621 0.0000
Ga: 0.6379 0.1379 0.0000
Ga: 0.8621 0.6379 0.0000
Rh: 0.1484 0.6484 0.5000
Rh: 0.3516 0.1484 0.5000
Rh: 0.6484 0.8516 0.5000
Rh: 0.8516 0.3516 0.5000

---

First-principles (PBE) data for crystalline HfCu4Bi at its relaxed geometry, as listed in Alexandria.

## Properties
ΔH_f (0 K) = 0.0876 eV per atom
E_tot = -4.9489 eV per atom
Crystal system = cubic
Density = 11.03 g cm⁻³
Spin magnetization = 0.00 μB/atom
Fermi-level density of states = 0.758 states/eV/atom

Cell: 5.1509 5.1509 5.1509 Å, 60.00 60.00 60.00°
Element x y z (fractional)
Hf: 0.0000 0.0000 0.0000
Cu: 0.1206 0.6265 0.6265
Cu: 0.6265 0.1206 0.6265
Cu: 0.6265 0.6265 0.1206
Cu: 0.6265 0.6265 0.6265
Bi: 0.2500 0.2500 0.2500

---

First-principles (PBE) data for crystalline DyPtI at its relaxed geometry, as listed in Alexandria.

## Properties
ΔE_f (raw) = -0.8954 eV per atom
E_tot = -4.9598 eV per atom
Crystal system = orthorhombic
Density = 9.34 g cm⁻³
Spin magnetization = 0.00 μB/atom

Cell: 7.7761 7.5513 9.1007 Å, 54.72 52.45 72.83°
Element x y z (fractional)
Dy: 0.2214 0.7786 0.3430
Dy: 0.5930 0.9070 0.4714
Dy: 0.7786 0.2214 0.6570
Dy: 0.9070 0.5930 0.0286
Pt: 0.1344 0.9447 0.5892
Pt: 0.6608 0.9183 0.1156
Pt: 0.9183 0.6608 0.3053
Pt: 0.9447 0.1344 0.3317
I: 0.3677 0.9586 0.8705
I: 0.3795 0.4468 0.8823
I: 0.4468 0.3795 0.2914
I: 0.9586 0.3677 0.8032

---

First-principles (PBE) data for crystalline Ag2SnPSe4 at its relaxed geometry, as listed in Alexandria.

## Properties
ΔE_f (raw) = -0.0878 eV per atom
E_tot = -3.7194 eV per atom
Crystal system = orthorhombic
Density = 6.41 g cm⁻³
Spin magnetization = 0.00 μB/atom
Fermi-level density of states = 0.207 states/eV/atom

Cell: 7.9299 7.9299 7.9299 Å, 120.58 119.36 90.05°
Element x y z (fractional)
Ag: 0.0000 0.0000 0.0000
Ag: 0.5000 0.0000 0.0000
Ag: 0.5000 0.0000 0.5000
Ag: 0.5000 0.5000 0.5000
Sn: 0.0000 0.5000 0.5000
Sn: 0.5000 0.5000 0.0000
P: 0.0000 0.0000 0.5000
P: 0.0000 0.5000 0.0000
Se: 0.2286 0.2470 0.9816
Se: 0.2346 0.7530 0.4816
Se: 0.2414 0.2351 0.4937
Se: 0.2414 0.7478 0.0063
Se: 0.7586 0.2522 0.9937
Se: 0.7586 0.7649 0.5063
Se: 0.7654 0.2470 0.5184
Se: 0.7714 0.7530 0.0184

---

First-principles (PBE) data for crystalline YBe2Ru at its relaxed geometry, as listed in Alexandria.

## Properties
ΔH_f (0 K) = -0.2510 eV per atom
E_tot = -6.0491 eV per atom
Crystal system = monoclinic
Density = 5.54 g cm⁻³
Spin magnetization = 0.00 μB/atom
Fermi-level density of states = 0.518 states/eV/atom

Cell: 4.1962 4.1962 4.9965 Å, 107.24 107.24 48.55°
Element x y z (fractional)
Y: 0.0000 0.0000 0.0000
Be: 0.2155 0.2155 0.5940
Be: 0.7845 0.7845 0.4060
Ru: 0.5000 0.5000 0.5000

---

First-principles (PBE) data for crystalline Ho2NpScP4 at its relaxed geometry, as listed in Alexandria.

## Properties
ΔH_f (0 K) = -1.3801 eV per atom
E_tot = -7.6385 eV per atom
Crystal system = monoclinic
Density = 7.18 g cm⁻³
Spin magnetization = 0.44 μB/atom
Fermi-level density of states = 1.175 states/eV/atom

Cell: 6.7728 3.9194 6.7942 Å, 90.00 109.29 90.00°
Element x y z (fractional)
Ho: 0.0000 0.0000 0.0000
Ho: 0.5000 0.5000 0.0000
Np: 0.0000 0.5000 0.5000
Sc: 0.5000 0.0000 0.5000
P: 0.2515 0.0000 0.7419
P: 0.2564 0.5000 0.2618
P: 0.7436 0.5000 0.7382
P: 0.7485 0.0000 0.2581